6
Lattice="0.0000 3.2886 3.2886 3.2886 0.0000 3.2886 3.2886 3.2886 0.0000" Properties=species:S:1:pos:R:3 comment="Be4TlW (PBE, relaxed)" delta_e_f_kj_per_mol_fu=280 final_energy_ev_per_atom=-4.553 pbc="T T T"
W 0.0000 0.0000 0.0000
Be 2.4239 2.4239 2.4239
Be 2.4239 4.1533 4.1533
Be 4.1533 2.4239 4.1533
Tl 4.9329 4.9329 4.9329
Be 4.1533 4.1533 2.4239

=====

4
Lattice="-2.7894 -3.7610 6.3302 0.6453 -2.2363 7.5220 -2.5881 0.0177 7.4364" Properties=species:S:1:pos:R:3 comment="YMg2P (PBE, relaxed)" delta_e_f_kj_per_mol_fu=-72 final_energy_ev_per_atom=-3.953 pbc="T T T"
Mg -4.5896 -5.7993 20.6471
P -1.1831 -1.4949 5.3222
Y -3.5492 -4.4846 15.9665
Mg -2.5087 -3.1699 11.2858

=====

16
Lattice="4.5108 0.0000 0.0000 -2.2554 5.1959 0.0000 0.0000 0.0000 14.9133" Properties=species:S:1:pos:R:3 comment="Tb3Zn3Au2 (PBE, relaxed)" delta_e_f_kj_per_mol_fu=-438 final_energy_ev_per_atom=-3.601 pbc="T T T"
Au 2.2554 3.1130 13.3367
Au 2.2554 3.1130 9.0332
Zn 0.0000 3.6697 3.7283
Zn 2.2554 1.5262 11.1850
Tb 0.0000 0.9747 13.3694
Tb 2.2554 4.2212 1.5439
Tb 2.2554 4.2212 5.9128
Tb 0.0000 3.7677 11.1850
Tb 0.0000 0.9747 9.0005
Au 0.0000 2.0829 1.5766
Zn 2.2554 1.1183 6.8418
Tb 2.2554 1.4282 3.7283
Zn 2.2554 1.1183 0.6149
Au 0.0000 2.0829 5.8801
Zn 0.0000 4.0776 8.0715
Zn 0.0000 4.0776 14.2984